[1]
DFT (SCAN) results for a crystal of Mn5NiO12 relaxed with PBEsol.

Computed properties:
**Volume**: 200 Å³/f.u.
**Formation energy without anion corrections**: -1858.8 meV/atom

a b c (Å): 4.9070 4.9117 9.5612
angles (deg): 89.98 89.97 60.03
Closest atoms and distances in Å follow each position.
Sites, in units of the cell vectors:
O  0.5003  0.6666  0.4000  3 Mn 1.90
O  0.0000  0.6701  0.0986  1 Ni 1.87, 2 Mn 1.90
O  0.1665  0.0000  0.5999  3 Mn 1.89-1.90
O  0.3299  0.6701  0.9014  1 Ni 1.87, 2 Mn 1.90
O  0.3299  0.0000  0.0986  1 Ni 1.87, 2 Mn 1.90
O  0.1669  0.3334  0.4000  3 Mn 1.90
O  0.0000  0.3299  0.9014  1 Ni 1.87, 2 Mn 1.90
O  0.4997  0.3334  0.6000  3 Mn 1.90
O  0.8331  0.6666  0.6000  3 Mn 1.90
O  0.6701  0.3299  0.0986  1 Ni 1.87, 2 Mn 1.90
O  0.6701  0.0000  0.9014  1 Ni 1.87, 2 Mn 1.90
O  0.8335  0.0000  0.4001  3 Mn 1.89-1.90
Mn  0.3334  0.3333  0.0000  6 O 1.90
Mn  0.5000  0.0000  0.5000  6 O 1.89-1.90
Mn  0.1666  0.6667  0.5000  6 O 1.90
Mn  0.6666  0.6667  0.0000  6 O 1.90
Mn  0.8334  0.3333  0.5000  6 O 1.90
Ni  0.0000  0.0000  0.0000  6 O 1.87

---

[2]
DFT (SCAN) results for a crystal of MnNi3P4O16 relaxed with PBEsol.

Computed properties:
**Volume**: 246 Å³/f.u.
**Formation energy without anion corrections**: -1994.1 meV/atom

a b c (Å): 4.6279 5.5627 9.5545
angles (deg): 90.00 90.00 90.00
Closest atoms and distances in Å follow each position.
Sites, in units of the cell vectors:
P  0.8957  0.5000  0.4085  4 O 1.52-1.57
P  0.6107  0.5000  0.9126  4 O 1.51-1.59
P  0.0977  0.0000  0.5861  4 O 1.51-1.60
P  0.3954  0.0000  0.0917  4 O 1.52-1.59
O  0.2859  0.5000  0.8851  1 P 1.53
O  0.2521  0.2164  0.6666  1 P 1.60
O  0.2228  0.5000  0.3945  1 P 1.52
O  0.2521  0.7836  0.6666  1 P 1.60
O  0.7733  0.2895  0.8325  1 P 1.59
O  0.2336  0.2148  0.1680  1 P 1.59
O  0.2336  0.7852  0.1680  1 P 1.59
O  0.6738  0.5000  0.0676  1 P 1.51
O  0.1828  0.0000  0.4324  1 P 1.52
O  0.7728  0.0000  0.6038  1 P 1.51
O  0.3270  0.0000  0.9359  1 P 1.52
O  0.7358  0.2849  0.3347  1 P 1.57
O  0.7733  0.7105  0.8325  1 P 1.59
O  0.7228  0.0000  0.1092  1 P 1.52
O  0.7358  0.7151  0.3347  1 P 1.57
O  0.8276  0.5000  0.5671  1 P 1.55
Mn  0.0478  0.5000  0.7291  6 O 1.85-1.99
Ni  0.9487  0.0000  0.2707  6 O 1.86-2.03
Ni  0.5541  0.0000  0.7704  6 O 1.89-2.09
Ni  0.4445  0.5000  0.2315  6 O 1.86-2.05

---

[3]
DFT (SCAN) results for a crystal of MnNiP2O8 relaxed with PBEsol.

Computed properties:
**Polymorph energy (0 for the lowest one)**: 0.00 eV/f.u.
**Volume**: 126 Å³/f.u.
**Formation energy without anion corrections**: -2147.6 meV/atom

a b c (Å): 4.6526 5.5935 9.6563
angles (deg): 90.00 89.76 90.00
Closest atoms and distances in Å follow each position.
Sites, in units of the cell vectors:
O  0.7300  0.0412  0.8279  1 P 1.59
O  0.2700  0.9588  0.1721  1 P 1.59
O  0.8334  0.2500  0.0608  1 P 1.50
O  0.3195  0.7500  0.4335  1 P 1.54
O  0.6805  0.2500  0.5665  1 P 1.54
O  0.2700  0.5412  0.1721  1 P 1.59
O  0.2700  0.2500  0.4003  1 P 1.50
O  0.7300  0.4588  0.8279  1 P 1.59
O  0.7449  0.0341  0.3350  1 P 1.59
O  0.2551  0.5341  0.6650  1 P 1.59
O  0.7843  0.7500  0.1206  1 P 1.53
O  0.1666  0.7500  0.9392  1 P 1.50
O  0.2551  0.9659  0.6650  1 P 1.59
O  0.7449  0.4659  0.3350  1 P 1.59
O  0.2157  0.2500  0.8794  1 P 1.53
O  0.7300  0.7500  0.5997  1 P 1.50
Mn  0.5416  0.7500  0.2727  6 O 1.85-1.98
Mn  0.4584  0.2500  0.7273  6 O 1.85-1.98
Ni  0.0496  0.2500  0.2327  6 O 1.92-2.11
Ni  0.9504  0.7500  0.7673  6 O 1.92-2.11
P  0.4078  0.7500  0.5875  4 O 1.50-1.59
P  0.8915  0.2500  0.9077  4 O 1.50-1.59
P  0.1085  0.7500  0.0923  4 O 1.50-1.59
P  0.5922  0.2500  0.4125  4 O 1.50-1.59

---

[4]
DFT (SCAN) results for a crystal of MnNiP2O8 relaxed with PBEsol.

Computed properties:
**Polymorph energy (0 for the lowest one)**: 1.02 eV/f.u.
**Volume**: 136 Å³/f.u.
**Formation energy without anion corrections**: -2062.4 meV/atom

a b c (Å): 8.2522 8.2522 8.2522
angles (deg): 61.23 61.23 61.23
Closest atoms and distances in Å follow each position.
Sites, in units of the cell vectors:
O  0.1159  0.5132  0.3142  1 P 1.50
O  0.4895  0.6820  0.8854  1 P 1.51
O  0.2555  0.9137  0.0572  1 P 1.57
O  0.9373  0.7472  0.0867  1 P 1.59
O  0.3142  0.1159  0.5132  1 P 1.50
O  0.4483  0.5906  0.2476  1 P 1.57
O  0.9137  0.0572  0.2555  1 P 1.57
O  0.5559  0.4117  0.7520  1 P 1.58
O  0.4117  0.7520  0.5559  1 P 1.58
O  0.7472  0.0867  0.9373  1 P 1.59
O  0.8854  0.4895  0.6820  1 P 1.51
O  0.0572  0.2555  0.9137  1 P 1.57
O  0.5906  0.2476  0.4483  1 P 1.57
O  0.9993  0.6227  0.8187  1 P 1.53
O  0.3828  0.1818  0.9894  1 P 1.51
O  0.9894  0.3828  0.1818  1 P 1.51
O  0.6227  0.8187  0.9993  1 P 1.53
O  0.5132  0.3142  0.1159  1 P 1.50
O  0.0867  0.9373  0.7472  1 P 1.59
O  0.2476  0.4483  0.5906  1 P 1.57
O  0.7520  0.5559  0.4117  1 P 1.58
O  0.1818  0.9894  0.3828  1 P 1.51
O  0.6820  0.8854  0.4895  1 P 1.51
O  0.8187  0.9993  0.6227  1 P 1.53
P  0.9607  0.5376  0.2503  4 O 1.50-1.59
P  0.5376  0.2503  0.9607  4 O 1.50-1.59
P  0.2503  0.9607  0.5376  4 O 1.50-1.59
P  0.0404  0.4606  0.7495  4 O 1.51-1.57
P  0.4606  0.7495  0.0404  4 O 1.51-1.57
P  0.7495  0.0404  0.4606  4 O 1.51-1.57
Ni  0.6405  0.6405  0.6405  6 O 1.89-1.97
Ni  0.3602  0.3602  0.3602  6 O 1.90-2.00
Ni  0.1408  0.1408  0.1408  6 O 1.87-1.95
Mn  0.5009  0.5009  0.5009  6 O 2.04
Mn  0.0009  0.0009  0.0009  6 O 2.08-2.11
Mn  0.8591  0.8591  0.8591  6 O 1.83-1.93